Record 1
## LiRh2W (GGA-PBEsol)

Data for a relaxed structure of LiRh2W.

Summary:
uncorrected energy	-8.030	eV/atom
ΔH_f (0 K)	-17	meV/atom

Cell and atoms, written as CIF:
```
data_LiRh2W
_space_group_name_H-M_alt 'P 1'
_space_group_IT_number 1
_cell_length_a 4.8062
_cell_length_b 4.8062
_cell_length_c 4.8062
_cell_angle_alpha 135.63
_cell_angle_beta 135.63
_cell_angle_gamma 64.55
loop_
_space_group_symop_operation_xyz
'x,y,z'
loop_
_atom_site_label
_atom_site_fract_x
_atom_site_fract_y
_atom_site_fract_z
Li1 0.0000 0.0000 0.0000
Rh1 0.5000 0.5000 0.0000
Rh2 0.7500 0.2500 0.5000
W1 0.2500 0.7500 0.5000
```

Record 2
## LiY2Rh2 (GGA-PBEsol)

Data for a relaxed structure of LiY2Rh2.

Summary:
uncorrected energy	-6.915	eV/atom
ΔH_f (0 K)	-538	meV/atom

Cell and atoms, written as CIF:
```
data_LiY2Rh2
_space_group_name_H-M_alt 'P 1'
_space_group_IT_number 1
_cell_length_a 7.5729
_cell_length_b 7.5729
_cell_length_c 3.4993
_cell_angle_alpha 90.00
_cell_angle_beta 90.00
_cell_angle_gamma 90.00
loop_
_space_group_symop_operation_xyz
'x,y,z'
loop_
_atom_site_label
_atom_site_fract_x
_atom_site_fract_y
_atom_site_fract_z
Li1 0.0000 0.0000 0.0000
Li2 0.5000 0.5000 0.0000
Y1 0.1612 0.3388 0.5000
Y2 0.3388 0.8388 0.5000
Y3 0.6612 0.1612 0.5000
Y4 0.8388 0.6612 0.5000
Rh1 0.1370 0.6370 0.0000
Rh2 0.3630 0.1370 0.0000
Rh3 0.6370 0.8630 0.0000
Rh4 0.8630 0.3630 0.0000
```

| no. | spin magnetization (μB/f.u.) |
| --- | --- |
| 1 | 0.00 |
| 2 | 0.00 |